Record 1
Pm2Pr2Te3 | PBE-GGA | relaxed

Computed properties:
Formation energy from raw total energies in eV/atom: -1.10
Calculated total energy in eV per formula unit: -36.2
ΔE to the lowest computed polymorph in meV per atom: 118.8
Calculated density in Mg/m³: 6.571

Cell: 16.6451 4.3488 7.4411 Å, 90.00 116.40 90.00°
Closest atoms and distances in Å follow each position.
Space group C2/m (No. 12)
Unique sites:
Pm1 0.1127 0.0000 0.4595 [4 per cell]  4 Te 3.08-3.21
Pr1 0.1260 0.5000 0.9526 [4 per cell]  5 Te 3.13-3.22
Te1 0.0000 0.0000 0.0000 [2 per cell]  2 Pm 3.08, 4 Pr 3.15
Te2 0.2466 0.5000 0.7275 [4 per cell]  3 Pm 3.12-3.21, 3 Pr 3.13-3.22

---

Record 2
RbCd2Au2 | PBE-GGA | relaxed

Computed properties:
Energy of formation in eV/atom: -0.230
Calculated total energy in eV per formula unit: -10.5
ΔE to the lowest computed polymorph in meV per atom: 0.0
Calculated density in Mg/m³: 8.527

Cell: 4.7497 4.7497 12.1579 Å, 90.00 90.00 90.00°
Closest atoms and distances in Å follow each position.
Space group I4/mmm (No. 139)
Unique sites:
Rb1 0.0000 0.0000 0.0000 [2 per cell]  8 Au 3.64, 8 Cd 3.86
Cd1 0.0000 0.5000 0.2500 [4 per cell]  4 Au 2.89
Au1 0.0000 0.0000 0.3854 [4 per cell]  1 Au 2.79, 4 Cd 2.89

---

Record 3
Cs3AsI | PBE-GGA | relaxed

Computed properties:
Formation energy from raw total energies in eV/atom: -0.63
Calculated total energy in eV per formula unit: -11.9
ΔE to the lowest computed polymorph in meV per atom: 0.0
Calculated density in Mg/m³: 2.993

Cell: 6.9324 6.9324 6.9324 Å, 90.00 90.00 90.00°
Closest atoms and distances in Å follow each position.
Space group Pm-3m (No. 221)
Unique sites:
Cs1 0.0000 0.0000 0.5000 [3 per cell]  2 As 3.47
As1 0.0000 0.0000 0.0000 [1 per cell]  6 Cs 3.47
I1 0.5000 0.5000 0.5000 [1 per cell]  12 Cs 4.90

---

Here are the calculated N(E_F) numbers, same order: 5.1; 2.0; 2.1 (states/eV/f.u.).